Density functional theory data (GGA+U) for a relaxed PaV2RhO8 crystal.

Values from the calculation:
N(E_F): 0.03 states/eV per atom
raw total energy: -7.887 eV/atom
magnetic moment: 4.0 μB/cell

Lattice parameters (Å, degrees): 5.144 5.144 6.473 113.41 113.41 90.00
Each line ends with the local moment (μB).
Element x y z (fractional)
Pa (0.000, 0.000, 0.000)  0.08
V (0.500, 0.500, 0.000)  0.20
V (0.250, 0.750, 0.500)  1.10
Rh (0.750, 0.250, 0.500)  2.19
O (0.757, 0.825, 0.174)  0.03
O (0.416, 0.348, 0.174)  0.03
O (0.604, 0.678, 0.680)  0.03
O (0.076, 0.002, 0.680)  0.03
O (0.998, 0.396, 0.320)  0.03
O (0.322, 0.924, 0.320)  0.03
O (0.175, 0.584, 0.826)  0.03
O (0.652, 0.243, 0.826)  0.03